# 1
## Cs12K5Sb3 (PBE)

Data for an optimized crystal structure of Cs12K5Sb3.

## Properties
raw formation energy	0.02	eV/atom
final energy	-1.39	eV/atom
magnetic moment	0.00	μB per formula unit
space-group type	No. 230
density of states at the Fermi level	0.91	states/eV per atom

a = 20.9257 Å, b = 20.9257 Å, c = 20.9257 Å
α = 109.47°, β = 109.47°, γ = 109.47°
Last column: nearest neighbours and their distance in Å.
Atoms (fractional coordinates):
Cs 0.5832 0.2514 0.1363  1 Sb 3.72, 1 Cs 4.08
K 0.5000 0.0000 0.5000  6 Cs 4.41
Cs 0.4168 0.6682 0.0530  1 Sb 3.72, 1 Cs 4.08
Cs 0.9168 0.5530 0.1682  1 Sb 3.72, 1 Cs 4.08
K 0.6250 0.7500 0.8750  4 Cs 4.27
Cs 0.3637 0.9168 0.7486  1 Sb 3.72, 1 Cs 4.08
Cs 0.2514 0.5832 0.6363  1 Sb 3.72, 1 Cs 4.08
Cs 0.5530 0.6363 0.3849  1 Sb 3.72, 1 Cs 4.08
Cs 0.2514 0.6682 0.1151  1 Sb 3.72, 1 Cs 4.08
K 0.1250 0.3750 0.2500  4 Cs 4.27
K 0.6250 0.8750 0.2500  4 Cs 4.27
Sb 0.2500 0.1250 0.3750  4 Cs 3.72
Cs 0.8849 0.8318 0.7486  1 Sb 3.72, 1 Cs 4.08
Cs 0.7514 0.1363 0.0832  1 Sb 3.72, 1 Cs 4.08
Cs 0.1363 0.3849 0.0530  1 Sb 3.72, 1 Cs 4.08
Cs 0.5832 0.3318 0.9470  1 Sb 3.72, 1 Cs 4.08
Sb 0.1250 0.8750 0.7500  4 Cs 3.72
Cs 0.8849 0.0530 0.6363  1 Sb 3.72, 1 Cs 4.08
Cs 0.6151 0.8637 0.4470  1 Sb 3.72, 1 Cs 4.08
Cs 0.7486 0.4168 0.3637  1 Sb 3.72, 1 Cs 4.08
Cs 0.6151 0.7514 0.6682  1 Sb 3.72, 1 Cs 4.08
K 0.7500 0.6250 0.3750  4 Cs 4.27
Cs 0.8637 0.2486 0.4168  1 Sb 3.72, 1 Cs 4.08
Cs 0.3637 0.4470 0.1151  1 Sb 3.72, 1 Cs 4.08
Cs 0.8318 0.8849 0.2486  1 Sb 3.72, 1 Cs 4.08
Cs 0.9168 0.3637 0.2486  1 Sb 3.72, 1 Cs 4.08
Cs 0.1151 0.1682 0.2514  1 Sb 3.72, 1 Cs 4.08
K 0.3750 0.1250 0.7500  4 Cs 4.27
K 0.0000 0.5000 0.5000  6 Cs 4.41
K 0.1250 0.7500 0.3750  4 Cs 4.27
Cs 0.9470 0.8318 0.5832  1 Sb 3.72, 1 Cs 4.08
Cs 0.4470 0.0832 0.3318  1 Sb 3.72, 1 Cs 4.08
Sb 0.6250 0.2500 0.3750  4 Cs 3.72
Cs 0.7486 0.3318 0.8849  1 Sb 3.72, 1 Cs 4.08
Cs 0.0530 0.8849 0.1363  1 Sb 3.72, 1 Cs 4.08
Sb 0.7500 0.3750 0.1250  4 Cs 3.72
Sb 0.7500 0.8750 0.6250  4 Cs 3.72
Cs 0.3849 0.2486 0.3318  1 Sb 3.72, 1 Cs 4.08
K 0.0000 0.5000 0.0000  6 Cs 4.41
Cs 0.9470 0.1151 0.8637  1 Sb 3.72, 1 Cs 4.08
Cs 0.1363 0.7514 0.5832  1 Sb 3.72, 1 Cs 4.08
Cs 0.6682 0.2514 0.6151  1 Sb 3.72, 1 Cs 4.08
Sb 0.8750 0.7500 0.1250  4 Cs 3.72
Cs 0.4168 0.7486 0.8637  1 Sb 3.72, 1 Cs 4.08
K 0.2500 0.8750 0.1250  4 Cs 4.27
Cs 0.1682 0.0530 0.9168  1 Sb 3.72, 1 Cs 4.08
Cs 0.8637 0.6151 0.9470  1 Sb 3.72, 1 Cs 4.08
Cs 0.3318 0.5832 0.4470  1 Sb 3.72, 1 Cs 4.08
K 0.5000 0.5000 0.5000  6 Cs 4.41
Cs 0.0530 0.1682 0.4168  1 Sb 3.72, 1 Cs 4.08
Cs 0.6363 0.0832 0.2514  1 Sb 3.72, 1 Cs 4.08
K 0.8750 0.2500 0.6250  4 Cs 4.27
Cs 0.2486 0.3849 0.8318  1 Sb 3.72, 1 Cs 4.08
K 0.5000 0.0000 0.0000  6 Cs 4.41
Cs 0.3318 0.7486 0.3849  1 Sb 3.72, 1 Cs 4.08
Cs 0.1151 0.9470 0.3637  1 Sb 3.72, 1 Cs 4.08
K 0.2500 0.3750 0.6250  4 Cs 4.27
K 0.0000 0.0000 0.5000  6 Cs 4.41
K 0.0000 0.0000 0.0000  6 Cs 4.41
K 0.8750 0.6250 0.7500  4 Cs 4.27
K 0.5000 0.5000 0.0000  6 Cs 4.41
Sb 0.6250 0.3750 0.7500  4 Cs 3.72
Sb 0.3750 0.7500 0.6250  4 Cs 3.72
K 0.7500 0.1250 0.8750  4 Cs 4.27
Sb 0.3750 0.6250 0.2500  4 Cs 3.72
Cs 0.0832 0.4470 0.8318  1 Sb 3.72, 1 Cs 4.08
Sb 0.1250 0.2500 0.8750  4 Cs 3.72
K 0.3750 0.2500 0.1250  4 Cs 4.27
Cs 0.6682 0.4168 0.5530  1 Sb 3.72, 1 Cs 4.08
Cs 0.8318 0.9470 0.0832  1 Sb 3.72, 1 Cs 4.08
Sb 0.2500 0.6250 0.8750  4 Cs 3.72
Cs 0.5530 0.9168 0.6682  1 Sb 3.72, 1 Cs 4.08
Cs 0.4470 0.3637 0.6151  1 Sb 3.72, 1 Cs 4.08
Cs 0.2486 0.8637 0.9168  1 Sb 3.72, 1 Cs 4.08
Cs 0.3849 0.1363 0.5530  1 Sb 3.72, 1 Cs 4.08
Cs 0.6363 0.5530 0.8849  1 Sb 3.72, 1 Cs 4.08
Sb 0.8750 0.1250 0.2500  4 Cs 3.72
Cs 0.7514 0.6151 0.1682  1 Sb 3.72, 1 Cs 4.08
Cs 0.1682 0.1151 0.7514  1 Sb 3.72, 1 Cs 4.08
Cs 0.0832 0.6363 0.7514  1 Sb 3.72, 1 Cs 4.08



# 2
## TlRe2Os (PBE)

Data for an optimized crystal structure of TlRe2Os.

## Properties
excess energy over the best structure of this formula in the dataset	1.63	eV/f.u.
final energy	-8.63	eV/atom
magnetic moment	0.00	μB per formula unit
E_form	0.993	eV/atom
space-group type	No. 216
density of states at the Fermi level	0.73	states/eV per atom

a = 4.5300 Å, b = 4.5300 Å, c = 4.5300 Å
α = 60.00°, β = 60.00°, γ = 60.00°
Last column: nearest neighbours and their distance in Å.
Atoms (fractional coordinates):
Re 0.7500 0.7500 0.7500  4 Re 2.77, 4 Os 2.77
Re 0.0000 0.0000 0.0000  4 Re 2.77, 4 Tl 2.77
Os 0.5000 0.5000 0.5000  4 Tl 2.77, 4 Re 2.77
Tl 0.2500 0.2500 0.2500  4 Re 2.77, 4 Os 2.77



# 3
## Rb2In3Sn4Au (PBE)

Data for an optimized crystal structure of Rb2In3Sn4Au.

## Properties
final energy	-3.11	eV/atom
magnetic moment	0.00	μB per formula unit
E_form	-0.167	eV/atom
space-group type	No. 115
density of states at the Fermi level	0.28	states/eV per atom

a = 5.0818 Å, b = 5.0818 Å, c = 12.2396 Å
α = 90.00°, β = 90.00°, γ = 90.00°
Last column: nearest neighbours and their distance in Å.
Atoms (fractional coordinates):
In 0.0000 0.5000 0.1385  5 Sn 2.95-3.05
Rb 0.5000 0.0000 0.2591  8 Sn 3.88-4.06, 6 In 3.88-3.89, 2 Au 3.89
Sn 0.5000 0.0000 0.6208  3 In 2.94-2.95, 2 Au 2.94
Sn 0.0000 0.0000 0.0000  4 In 3.05
Au 0.5000 0.5000 0.5000  4 Sn 2.94
Sn 0.5000 0.5000 0.0000  4 In 3.05
Sn 0.0000 0.5000 0.3792  2 Au 2.94, 3 In 2.94-2.95
In 0.0000 0.0000 0.5000  4 Sn 2.94
In 0.5000 0.0000 0.8615  5 Sn 2.95-3.05
Rb 0.0000 0.5000 0.7409  8 Sn 3.88-4.06, 6 In 3.88-3.89, 2 Au 3.89



# 4
## CuO (PBE)

Data for an optimized crystal structure of CuO.

## Properties
raw formation energy	-0.42	eV/atom
final energy	-4.95	eV/atom
magnetic moment	0.00	μB per formula unit
space-group type	No. 70
density of states at the Fermi level	0.70	states/eV per atom

a = 10.4551 Å, b = 10.5828 Å, c = 3.4008 Å
α = 90.00°, β = 90.00°, γ = 90.00°
Last column: nearest neighbours and their distance in Å.
Atoms (fractional coordinates):
Cu 0.8652 0.0000 0.0000  4 O 1.95-1.96
O 0.7500 0.3793 0.2500  4 Cu 1.95-1.96
O 0.7500 0.6207 0.7500  4 Cu 1.95-1.96
Cu 0.1152 0.2500 0.7500  4 O 1.95-1.96
Cu 0.3848 0.2500 0.7500  4 O 1.95-1.96
O 0.0000 0.1293 0.0000  4 Cu 1.95-1.96
Cu 0.6348 0.5000 0.0000  4 O 1.95-1.96
O 0.2500 0.6207 0.2500  4 Cu 1.95-1.96
O 0.5000 0.3707 0.0000  4 Cu 1.95-1.96
O 0.0000 0.6293 0.5000  4 Cu 1.95-1.96
Cu 0.6348 0.0000 0.5000  4 O 1.95-1.96
Cu 0.8652 0.5000 0.5000  4 O 1.95-1.96
O 0.0000 0.3707 0.5000  4 Cu 1.95-1.96
Cu 0.1152 0.7500 0.2500  4 O 1.95-1.96
O 0.2500 0.3793 0.7500  4 Cu 1.95-1.96
O 0.7500 0.8793 0.7500  4 Cu 1.95-1.96
O 0.2500 0.8793 0.2500  4 Cu 1.95-1.96
Cu 0.8848 0.7500 0.7500  4 O 1.95-1.96
Cu 0.1348 0.0000 0.0000  4 O 1.95-1.96
Cu 0.6152 0.2500 0.2500  4 O 1.95-1.96
O 0.2500 0.1207 0.7500  4 Cu 1.95-1.96
Cu 0.3652 0.0000 0.5000  4 O 1.95-1.96
O 0.5000 0.6293 0.0000  4 Cu 1.95-1.96
Cu 0.1348 0.5000 0.5000  4 O 1.95-1.96
Cu 0.3652 0.5000 0.0000  4 O 1.95-1.96
O 0.5000 0.1293 0.5000  4 Cu 1.95-1.96
Cu 0.3848 0.7500 0.2500  4 O 1.95-1.96
Cu 0.6152 0.7500 0.7500  4 O 1.95-1.96
Cu 0.8848 0.2500 0.2500  4 O 1.95-1.96
O 0.5000 0.8707 0.5000  4 Cu 1.95-1.96
O 0.7500 0.1207 0.2500  4 Cu 1.95-1.96
O 0.0000 0.8707 0.0000  4 Cu 1.95-1.96



# 5
## Ba2AgW (PBE)

Data for an optimized crystal structure of Ba2AgW.

## Properties
excess energy over the best structure of this formula in the dataset	0.86	eV/f.u.
final energy	-3.80	eV/atom
magnetic moment	0.00	μB per formula unit
E_form	1.110	eV/atom
space-group type	No. 166
density of states at the Fermi level	0.68	states/eV per atom

a = 11.2852 Å, b = 11.2852 Å, c = 11.2852 Å
α = 17.60°, β = 17.60°, γ = 17.60°
Last column: nearest neighbours and their distance in Å.
Atoms (fractional coordinates):
Ba 0.9965 0.9965 0.9965  3 W 3.32, 6 Ba 3.45, 3 Ag 3.51
Ba 0.5035 0.5035 0.5035  3 W 3.32, 6 Ba 3.45, 3 Ag 3.51
W 0.2500 0.2500 0.2500  6 Ba 3.32, 6 W 3.45
Ag 0.7500 0.7500 0.7500  6 Ag 3.45, 6 Ba 3.51



# 6
## PmSc2Bi (PBE)

Data for an optimized crystal structure of PmSc2Bi.

## Properties
excess energy over the best structure of this formula in the dataset	0.14	eV/f.u.
final energy	-5.61	eV/atom
magnetic moment	0.00	μB per formula unit
E_form	-0.287	eV/atom
space-group type	No. 123
density of states at the Fermi level	1.25	states/eV per atom

a = 3.8769 Å, b = 3.8769 Å, c = 7.1171 Å
α = 90.00°, β = 90.00°, γ = 90.00°
Last column: nearest neighbours and their distance in Å.
Atoms (fractional coordinates):
Sc 0.0000 0.0000 0.7217  1 Sc 3.16, 4 Bi 3.16, 4 Pm 3.38
Pm 0.5000 0.5000 0.0000  8 Sc 3.38, 2 Bi 3.56
Sc 0.0000 0.0000 0.2783  1 Sc 3.16, 4 Bi 3.16, 4 Pm 3.38
Bi 0.5000 0.5000 0.5000  8 Sc 3.16



density of states at the Fermi level of number 2 (TlRe2Os)?
0.73 states/eV per atom